# 1
Here is a relaxed structure of MnZnAs2Ru from the Alexandria database. Energies are from PBE-GGA.

```
MnZnAs2Ru
1.0
-3.7756 -0.1319 2.7872
-1.9079 -3.3472 -2.7428
2.0491 -3.3141 2.6190
As Mn Zn Ru
2 1 1 1
Cartesian
1.0246 -1.6570 1.3095
-1.8878 -0.0659 1.3936
-1.8172 -3.3966 1.3317
-0.9539 -1.6736 -1.3714
0.0000 0.0000 0.0000
```

Values from the calculation:
Energy relative to the elements (meV/atom): 1037.4
Final energy (eV per atom): -4.77
ρ (Mg/m³): 5.91
Fermi-level density of states (states/eV/cell): 9.92
Symmetry: P4/mmm, No. 123

# 2
Here is a relaxed structure of Pm5NdDyHo2 from the Alexandria database. Energies are from PBE-GGA.

```
Pm5NdDyHo2
1.0
-4.6938 3.0018 0.9880
3.5483 -2.9077 9.4883
5.8580 8.9755 0.5599
Pm Nd Ho Dy
10 2 4 2
Cartesian
-0.8810 3.6107 1.0482
-0.6646 2.7616 4.6557
4.8384 5.4825 6.3290
5.4954 5.3088 9.9786
2.4798 1.9697 5.7968
1.8796 4.8388 10.4322
0.1773 0.1619 0.3502
2.9094 8.1368 5.3041
1.0916 -0.8763 7.8489
0.9893 5.9138 2.9358
0.5384 -0.4867 4.0367
1.3514 5.2315 6.7297
3.3704 7.7690 8.6120
-0.0183 2.5354 8.4139
2.1460 2.5325 2.5011
4.5847 6.3103 2.6083
3.6634 2.9406 8.4697
3.4697 9.8377 2.7979
```

Values from the calculation:
Energy relative to the elements (meV/atom): 146.5
Final energy (eV per atom): -4.55
ρ (Mg/m³): 7.33
Fermi-level density of states (states/eV/cell): 28.16
Symmetry: Cmc2_1, No. 36

# 3
Here is a relaxed structure of Tc2Sb3 from the Alexandria database. Energies are from PBE-GGA.

```
Tc2Sb3
1.0
7.3976 -4.0423 -3.9925
3.8774 -6.7622 0.3653
0.5606 -0.9464 -6.1294
Tc Sb
4 6
Cartesian
1.3850 -0.9772 -2.5384
2.5646 -2.2778 -5.3931
5.0827 -4.2171 -2.0107
9.8209 -8.7919 -4.0343
7.7057 -7.4771 -3.1573
6.8106 -6.8688 -6.4965
4.7065 -3.5596 -6.2541
7.0110 -4.5213 -4.2239
4.1219 -6.0011 -3.8007
2.5723 -3.4167 -2.6706
```

Values from the calculation:
Final energy (eV per atom): -6.38
ρ (Mg/m³): 8.80
ΔE to the lowest computed polymorph (meV per atom): 235
Fermi-level density of states (states/eV/cell): 6.22
Symmetry: Fdd2, No. 43